*a*
Computed, not measured: a relaxed Tb4MgIn2 crystal at the PBE level of DFT.

## Properties
For the density, the calculation gives 7.3 g cm⁻³.

a = 7.560 Å, b = 6.437 Å, c = 9.016 Å
α = 90.00°, β = 112.31°, γ = 90.00°
Space group P2_1/m (No. 11)
Inequivalent atoms, fractional coordinates:
Tb  0.087  0.250  0.052 x2
Tb  0.143  0.004  0.719 x4
Tb  0.305  0.750  0.323 x2
Mg  0.485  0.750  0.704 x2
In  0.246  0.250  0.449 x2
In  0.449  0.750  0.034 x2

***

*b*
Computed, not measured: a relaxed Tb4MgIn2 crystal at the PBE level of DFT.

## Properties
For the density, the calculation gives 7.2 g cm⁻³.

a = 5.2773 Å, b = 5.2773 Å, c = 25.3462 Å
α = 90.00°, β = 90.00°, γ = 120.00°
Space group R-3m (No. 166, hexagonal axes)
Inequivalent atoms, fractional coordinates:
Tb  0.0000  0.0000  0.1156 x6
Tb  0.0000  0.0000  0.3692 x6
Mg  0.0000  0.0000  0.5000 x3
In  0.0000  0.0000  0.2444 x6

***

What should be chosen as the least stable of them? Choose *a*.

***

*a*
Computed, not measured: a relaxed TbMg2In2 crystal at the PBE level of DFT.

## Properties
For the density, the calculation gives 5.7 g cm⁻³.

a = 13.505 Å, b = 4.457 Å, c = 4.457 Å
α = 90.00°, β = 109.16°, γ = 90.00°
Space group C2/m (No. 12)
Inequivalent atoms, fractional coordinates:
Tb  0.000  0.000  0.000 x2
Mg  0.250  0.000  0.750 x4
In  0.107  0.500  0.607 x4

***

*b*
Computed, not measured: a relaxed TbMg2In2 crystal at the PBE level of DFT.

## Properties
For the density, the calculation gives 5.2 g cm⁻³.

a = 5.1271 Å, b = 5.1271 Å, c = 12.1659 Å
α = 90.00°, β = 90.00°, γ = 120.00°
Space group P6_3/mmc (No. 194)
Inequivalent atoms, fractional coordinates:
Tb  0.0000  0.0000  0.2500 x2
Mg  0.3333  0.6667  0.1063 x4
In  0.0000  0.0000  0.0000 x2
In  0.3333  0.6667  0.7500 x2

***

What should be chosen as the least stable of them? Choose *b*.

***

*a*
Computed, not measured: a relaxed Tb3MgIn crystal at the PBE level of DFT.

## Properties
For the density, the calculation gives 7.2 g cm⁻³.

a = 5.113 Å, b = 21.625 Å, c = 5.111 Å
α = 90.00°, β = 90.00°, γ = 90.00°
Space group Cmcm (No. 63)
Inequivalent atoms, fractional coordinates:
Tb  0.000  0.056  0.250 x4
Tb  0.000  0.250  0.250 x4
Tb  0.000  0.441  0.250 x4
Mg  0.000  0.153  0.750 x4
In  0.000  0.344  0.750 x4

***

*b*
Computed, not measured: a relaxed Tb3MgIn crystal at the PBE level of DFT.

## Properties
For the density, the calculation gives 6.7 g cm⁻³.

a = 8.3195 Å, b = 8.3195 Å, c = 5.1028 Å
α = 90.00°, β = 90.00°, γ = 120.00°
Space group P6_3/mmc (No. 194)
Inequivalent atoms, fractional coordinates:
Tb  0.1963  0.3927  0.2500 x6
Mg  0.0000  0.0000  0.0000 x2
In  0.3333  0.6667  0.7500 x2

***

What should be chosen as the least stable of them? Choose *b*.

***

*a*
Computed, not measured: a relaxed MgInTc2 crystal at the PBE level of DFT.

## Properties
For the density, the calculation gives 8.5 g cm⁻³.

a = 4.518 Å, b = 4.518 Å, c = 6.434 Å
α = 90.00°, β = 90.00°, γ = 90.00°
Space group I-4m2 (No. 119)
Inequivalent atoms, fractional coordinates:
Mg  0.000  0.000  0.000 x2
In  0.000  0.500  0.250 x2
Tc  0.000  0.000  0.500 x2
Tc  0.000  0.500  0.750 x2

***

*b*
Computed, not measured: a relaxed MgInTc2 crystal at the PBE level of DFT.

## Properties
For the density, the calculation gives 8.2 g cm⁻³.

a = 2.9204 Å, b = 2.9204 Å, c = 27.6936 Å
α = 90.00°, β = 90.00°, γ = 120.00°
Space group R-3m (No. 166, hexagonal axes)
Inequivalent atoms, fractional coordinates:
Mg  0.0000  0.0000  0.0000 x3
In  0.0000  0.0000  0.5000 x3
Tc  0.0000  0.0000  0.2500 x6

***

*c*
Computed, not measured: a relaxed MgInTc2 crystal at the PBE level of DFT.

## Properties
For the density, the calculation gives 8.0 g cm⁻³.

a = 9.883 Å, b = 3.163 Å, c = 4.741 Å
α = 90.00°, β = 111.01°, γ = 90.00°
Space group Cm (No. 8)
Inequivalent atoms, fractional coordinates:
Mg  0.000  0.000  0.000 x2
In  0.277  0.500  0.295 x2
Tc  0.037  0.500  0.532 x2
Tc  0.241  0.000  0.765 x2

***

*d*
Computed, not measured: a relaxed MgInTc2 crystal at the PBE level of DFT.

## Properties
For the density, the calculation gives 8.1 g cm⁻³.

a = 2.810 Å, b = 2.810 Å, c = 8.666 Å
α = 90.00°, β = 90.00°, γ = 90.00°
Space group P4/mmm (No. 123)
Inequivalent atoms, fractional coordinates:
Mg  0.000  0.000  0.000 x1
In  0.000  0.000  0.500 x1
Tc  0.500  0.500  0.249 x2

***

What should be chosen as the least stable of them? Choose *d*.

***

*a*
Computed, not measured: a relaxed MgInTc2 crystal at the PBE level of DFT.

## Properties
For the density, the calculation gives 8.1 g cm⁻³.

a = 6.495 Å, b = 6.495 Å, c = 6.495 Å
α = 90.00°, β = 90.00°, γ = 90.00°
Space group Fm-3m (No. 225)
Inequivalent atoms, fractional coordinates:
Mg  0.000  0.000  0.000 x4
In  0.000  0.000  0.500 x4
Tc  0.250  0.250  0.250 x8

***

*b*
Computed, not measured: a relaxed MgInTc2 crystal at the PBE level of DFT.

## Properties
For the density, the calculation gives 8.4 g cm⁻³.

a = 3.295 Å, b = 4.454 Å, c = 4.531 Å
α = 90.00°, β = 90.00°, γ = 90.00°
Space group Pmmm (No. 47)
Inequivalent atoms, fractional coordinates:
Mg  0.000  0.000  0.000 x1
In  0.500  0.500  0.000 x1
Tc  0.000  0.500  0.500 x1
Tc  0.500  0.000  0.500 x1

***

What should be chosen as the least stable of them? Choose *a*.

***

*a*
Computed, not measured: a relaxed MgInTc2 crystal at the PBE level of DFT.

## Properties
For the density, the calculation gives 7.9 g cm⁻³.

a = 3.117 Å, b = 4.803 Å, c = 9.418 Å
α = 90.00°, β = 90.00°, γ = 90.00°
Space group Cmm2 (No. 35)
Inequivalent atoms, fractional coordinates:
Mg  0.000  0.000  0.000 x2
In  0.000  0.500  0.287 x2
Tc  0.000  0.000  0.545 x2
Tc  0.000  0.500  0.759 x2

***

*b*
Computed, not measured: a relaxed MgInTc2 crystal at the PBE level of DFT.

## Properties
For the density, the calculation gives 8.4 g cm⁻³.

a = 3.312 Å, b = 4.443 Å, c = 9.045 Å
α = 90.00°, β = 90.00°, γ = 90.00°
Space group Immm (No. 71)
Inequivalent atoms, fractional coordinates:
Mg  0.000  0.000  0.000 x2
In  0.000  0.000  0.500 x2
Tc  0.000  0.500  0.251 x4

***

*c*
Computed, not measured: a relaxed MgInTc2 crystal at the PBE level of DFT.

## Properties
For the density, the calculation gives 8.1 g cm⁻³.

a = 3.254 Å, b = 4.639 Å, c = 9.094 Å
α = 90.00°, β = 90.00°, γ = 90.00°
Space group Imm2 (No. 44)
Inequivalent atoms, fractional coordinates:
Mg  0.000  0.000  0.000 x2
In  0.000  0.500  0.226 x2
Tc  0.000  0.000  0.466 x2
Tc  0.000  0.500  0.757 x2

***

What should be chosen as the least stable of them? Choose *a*.

***

*a*
Computed, not measured: a relaxed MgIn2Te crystal at the PBE level of DFT.

## Properties
For the density, the calculation gives 5.8 g cm⁻³.

a = 6.842 Å, b = 10.095 Å, c = 3.185 Å
α = 90.00°, β = 90.00°, γ = 90.00°
Space group Cmmm (No. 65)
Inequivalent atoms, fractional coordinates:
Mg  0.000  0.000  0.000 x2
In  0.250  0.250  0.500 x4
Te  0.000  0.500  0.000 x2

***

*b*
Computed, not measured: a relaxed MgIn2Te crystal at the PBE level of DFT.

## Properties
For the density, the calculation gives 4.1 g cm⁻³.

a = 7.251 Å, b = 7.251 Å, c = 11.776 Å
α = 90.00°, β = 90.00°, γ = 90.00°
Space group I-42d (No. 122)
Inequivalent atoms, fractional coordinates:
Mg  0.000  0.000  0.000 x4
In  0.243  0.250  0.125 x8
Te  0.000  0.000  0.500 x4

***

*c*
Computed, not measured: a relaxed MgIn2Te crystal at the PBE level of DFT.

## Properties
For the density, the calculation gives 5.7 g cm⁻³.

a = 4.463 Å, b = 4.956 Å, c = 10.030 Å
α = 90.00°, β = 90.00°, γ = 90.00°
Space group Cmm2 (No. 35)
Inequivalent atoms, fractional coordinates:
Mg  0.000  0.000  0.000 x2
In  0.000  0.000  0.473 x2
In  0.000  0.500  0.220 x2
Te  0.000  0.500  0.801 x2

***

What should be chosen as the least stable of them? Choose *b*.

***

*a*
Computed, not measured: a relaxed MgIn2Te crystal at the PBE level of DFT.

## Properties
For the density, the calculation gives 5.7 g cm⁻³.

a = 4.275 Å, b = 4.373 Å, c = 11.833 Å
α = 90.00°, β = 90.00°, γ = 90.00°
Space group Immm (No. 71)
Inequivalent atoms, fractional coordinates:
Mg  0.000  0.000  0.000 x2
In  0.000  0.500  0.231 x4
Te  0.000  0.000  0.500 x2

***

*b*
Computed, not measured: a relaxed MgIn2Te crystal at the PBE level of DFT.

## Properties
For the density, the calculation gives 5.8 g cm⁻³.

a = 3.214 Å, b = 5.161 Å, c = 6.595 Å
α = 90.00°, β = 90.00°, γ = 90.00°
Space group Pmmm (No. 47)
Inequivalent atoms, fractional coordinates:
Mg  0.000  0.000  0.000 x1
In  0.500  0.500  0.238 x2
Te  0.000  0.000  0.500 x1

***

What should be chosen as the least stable of them? Choose *b*.